The following is a DFT calculation (GGA-PBE) of a relaxed NdCd2SnPd4 crystal.

Output
Formation energy from the elements (eV/atom): -0.555
Symmetry: R-3m, No. 166

a = 4.8159 Å, b = 4.8159 Å, c = 8.1466 Å
α = 72.81°, β = 72.81°, γ = 60.00°
Atoms (fractional coordinates):
Pd (0.6166, 0.6166, 0.1503)
Pd (0.3834, 0.3834, 0.8497)
Nd (0.0000, 0.0000, 0.0000)
Cd (0.2539, 0.2539, 0.2384)
Pd (0.8683, 0.8683, 0.3951)
Sn (0.5000, 0.5000, 0.5000)
Pd (0.1317, 0.1317, 0.6049)
Cd (0.7461, 0.7461, 0.7616)